The following is a DFT calculation (GGA-PBEsol) of a relaxed EuIn4Pd crystal.

Cell lengths 4.5267, 7.2161, 8.7376 Å; angles 90.00, 105.01, 90.00 degrees
Fractional coordinates of all 12 atoms:
In 0.0662 0.2500 0.1323
In 0.6828 0.0464 0.3655
In 0.9338 0.7500 0.8677
In 0.3172 0.5464 0.6345
In 0.5000 0.0000 0.0000
In 0.6828 0.4536 0.3655
In 0.3172 0.9536 0.6345
In 0.5000 0.5000 0.0000
Eu 0.1231 0.7500 0.2462
Eu 0.8769 0.2500 0.7538
Pd 0.2224 0.2500 0.4449
Pd 0.7776 0.7500 0.5551

Properties
The calculation puts the formation energy at -524 meV per atom. The value obtained for the total magnetization is 13.90 μB per cell.


The following is a DFT calculation (GGA-PBEsol) of a relaxed Eu2InPd2 crystal.

Cell lengths 5.7524, 5.8074, 8.1972 Å; angles 102.87, 90.00, 119.69 degrees
Fractional coordinates of all 10 atoms:
Pd 0.9984 0.2701 0.0021
Pd 0.7283 0.7299 0.4979
Pd 0.0016 0.7299 0.9979
Pd 0.2717 0.2701 0.5021
Eu 0.2054 0.7044 0.3520
Eu 0.7946 0.2956 0.6480
Eu 0.4990 0.7044 0.8520
Eu 0.5010 0.2956 0.1480
In 0.8445 0.0000 0.2500
In 0.1555 0.0000 0.7500

Properties
The calculation puts the formation energy at -722 meV per atom. The value obtained for the total magnetization is 28.16 μB per cell.


The following is a DFT calculation (GGA-PBEsol) of a relaxed EuIn2Pd crystal.

Cell lengths 4.4898, 5.6534, 7.7470 Å; angles 90.00, 90.00, 113.40 degrees
Fractional coordinates of all 8 atoms:
In 0.3562 0.7123 0.9474
In 0.6438 0.2877 0.4474
In 0.3562 0.7123 0.5526
In 0.6438 0.2877 0.0526
Pd 0.7842 0.5684 0.7500
Pd 0.2158 0.4316 0.2500
Eu 0.9324 0.8648 0.2500
Eu 0.0676 0.1352 0.7500

Properties
The calculation puts the formation energy at -668 meV per atom. The value obtained for the total magnetization is 14.02 μB per cell.


The DFT total energy results, record by record, are as follows: -5.27, -7.93, -6.29 eV per atom.
The N(E_F) results, record by record, are as follows: 1.717, 3.499, 2.735 states/eV per atom.